Entry 1:
VASP calculation (PBE) on a geometry-optimized TmScCd2 structure.

Structure (POSCAR):
```
TmScCd2
1.0
3.6062 0.0000 0.0000
0.0000 3.6062 0.0000
0.0000 0.0000 7.2798
Tm Sc Cd
1 1 2
direct
0.0000 0.0000 0.0000
0.0000 0.0000 0.5000
0.5000 0.5000 0.2658
0.5000 0.5000 0.7342
```

Properties
ΔE_f = -1.2 eV/f.u.
Relative energy among the computed polymorphs = 0 meV/atom
Magnetic moment = 0.00 μB/f.u.
Calculated total energy = -3.456 eV/atom
Calculated volume = 94.67 Å³/cell

=====

Entry 2:
VASP calculation (PBE) on a geometry-optimized Sc5TcAu2 structure.

Structure (POSCAR):
```
Sc5TcAu2
1.0
10.9826 0.0000 0.0000
0.0000 9.0630 0.0000
0.0000 0.0000 6.6275
Sc Tc Au
20 4 8
direct
0.0076 0.2500 0.0209
0.0896 0.0193 0.6737
0.0896 0.4807 0.6737
0.1900 0.7500 0.3606
0.2346 0.2500 0.3450
0.2654 0.7500 0.8450
0.3100 0.2500 0.8606
0.4104 0.5193 0.1737
0.4104 0.9807 0.1737
0.4924 0.7500 0.5209
0.5076 0.2500 0.4791
0.5896 0.0193 0.8263
0.5896 0.4807 0.8263
0.6900 0.7500 0.1394
0.7346 0.2500 0.1550
0.7654 0.7500 0.6550
0.8100 0.2500 0.6394
0.9104 0.5193 0.3263
0.9104 0.9807 0.3263
0.9924 0.7500 0.9791
0.0028 0.2500 0.4272
0.4972 0.7500 0.9272
0.5028 0.2500 0.0728
0.9972 0.7500 0.5728
0.1532 0.5011 0.0910
0.1532 0.9989 0.0910
0.3468 0.0011 0.5910
0.3468 0.4989 0.5910
0.6532 0.5011 0.4090
0.6532 0.9989 0.4090
0.8468 0.0011 0.9090
0.8468 0.4989 0.9090
```

Properties
ΔE_f = -4.1 eV/f.u.
Magnetic moment = 0.00 μB/f.u.
Calculated total energy = -6.587 eV/atom
Calculated volume = 659.67 Å³/cell

=====

Entry 3:
VASP calculation (PBE) on a geometry-optimized Sm12H5Au3 structure.

Structure (POSCAR):
```
Sm12H5Au3
1.0
-7.8285 7.8285 7.8285
7.8285 -7.8285 7.8285
7.8285 7.8285 -7.8285
Sm H Au
48 20 12
direct
0.0188 0.2105 0.1130
0.0188 0.3083 0.9057
0.0943 0.6130 0.4026
0.0943 0.9812 0.6917
0.0974 0.7105 0.6917
0.0974 0.8870 0.4057
0.1130 0.0188 0.2105
0.1130 0.5943 0.9026
0.1917 0.2105 0.5974
0.1917 0.4812 0.5943
0.2105 0.1130 0.0188
0.2105 0.5974 0.1917
0.2895 0.3083 0.9026
0.2895 0.4812 0.3870
0.3083 0.9026 0.2895
0.3083 0.9057 0.0188
0.3870 0.2895 0.4812
0.3870 0.5974 0.9057
0.4026 0.0943 0.6130
0.4026 0.8083 0.7895
0.4057 0.0974 0.8870
0.4057 0.8083 0.5188
0.4812 0.3870 0.2895
0.4812 0.5943 0.1917
0.5188 0.4057 0.8083
0.5188 0.6130 0.7105
0.5943 0.1917 0.4812
0.5943 0.9026 0.1130
0.5974 0.1917 0.2105
0.5974 0.9057 0.3870
0.6130 0.4026 0.0943
0.6130 0.7105 0.5188
0.6917 0.0943 0.9812
0.6917 0.0974 0.7105
0.7105 0.5188 0.6130
0.7105 0.6917 0.0974
0.7895 0.4026 0.8083
0.7895 0.8870 0.9812
0.8083 0.5188 0.4057
0.8083 0.7895 0.4026
0.8870 0.4057 0.0974
0.8870 0.9812 0.7895
0.9026 0.1130 0.5943
0.9026 0.2895 0.3083
0.9057 0.0188 0.3083
0.9057 0.3870 0.5974
0.9812 0.6917 0.0943
0.9812 0.7895 0.8870
0.0000 0.0000 0.0000
0.0000 0.0000 0.5000
0.0000 0.5000 0.0000
0.0000 0.5000 0.5000
0.1250 0.7500 0.8750
0.1250 0.8750 0.2500
0.2500 0.1250 0.8750
0.2500 0.6250 0.3750
0.3750 0.2500 0.6250
0.3750 0.6250 0.7500
0.5000 0.0000 0.0000
0.5000 0.0000 0.5000
0.5000 0.5000 0.0000
0.5000 0.5000 0.5000
0.6250 0.3750 0.2500
0.6250 0.7500 0.3750
0.7500 0.3750 0.6250
0.7500 0.8750 0.1250
0.8750 0.1250 0.7500
0.8750 0.2500 0.1250
0.1250 0.2500 0.3750
0.1250 0.3750 0.7500
0.2500 0.3750 0.1250
0.2500 0.8750 0.6250
0.3750 0.1250 0.2500
0.3750 0.7500 0.1250
0.6250 0.2500 0.8750
0.6250 0.8750 0.7500
0.7500 0.1250 0.3750
0.7500 0.6250 0.8750
0.8750 0.6250 0.2500
0.8750 0.7500 0.6250
```

Properties
Magnetic moment = 0.00 μB/f.u.
Calculated total energy = -4.540 eV/atom
Calculated volume = 1919.09 Å³/cell